# 1
A plane-wave DFT calculation with GGA-PBE was carried out for crystalline LaPmPaSn at its relaxed geometry.

Cell: 5.4784 5.4784 5.4784 Å, 60.00 60.00 60.00°
Site moments in Bohr magnetons follow the coordinates.
Positions (direct):
Pa1 0.2500 0.2500 0.2500  0.83
La1 0.0000 0.0000 0.0000  0.11
Sn1 0.7500 0.7500 0.7500  -0.04
Pm1 0.5000 0.5000 0.5000  0.15

Computed properties:
V in A^3/atom: 29.1
DOS at the Fermi energy in states/eV per cell: 6.81
E in eV per atom: -5.77
Space group: No. 216
DFT formation energy in eV per atom: 0.0220

---

# 2
A plane-wave DFT calculation with GGA-PBE was carried out for crystalline CaMn2Tc at its relaxed geometry.

Cell: 5.2116 5.2116 5.2116 Å, 135.14 135.14 65.31°
Site moments in Bohr magnetons follow the coordinates.
Positions (direct):
Ca1 0.7500 0.2500 0.5000  0.00
Mn1 0.0000 0.0000 0.0000  3.46
Mn2 0.2500 0.7500 0.5000  3.45
Tc1 0.5000 0.5000 0.0000  -0.40

Computed properties:
V in A^3/atom: 17.3
DOS at the Fermi energy in states/eV per cell: 7.17
E in eV per atom: -6.93
Space group: No. 119
DFT formation energy in eV per atom: 0.7486
ΔE to the lowest computed polymorph in eV per formula unit: 1.56

---

# 3
A plane-wave DFT calculation with GGA-PBE was carried out for crystalline YCu4Au at its relaxed geometry.

Cell: 5.0560 5.0560 5.0560 Å, 60.00 60.00 60.00°
Positions (direct):
Au1 0.0000 0.0000 0.0000
Cu1 0.1225 0.6258 0.6258
Cu2 0.6258 0.6258 0.6258
Cu3 0.6258 0.1225 0.6258
Cu4 0.6258 0.6258 0.1225
Y1 0.2500 0.2500 0.2500

Computed properties:
V in A^3/atom: 15.2
DOS at the Fermi energy in states/eV per cell: 5.70
E in eV per atom: -4.68
Space group: No. 216
DFT formation energy in eV per atom: -0.3255

---

# 4
A plane-wave DFT calculation with GGA-PBE was carried out for crystalline Tb11Ho9Th4 at its relaxed geometry.

Cell: 3.6863 15.1429 15.1429 Å, 112.73 90.00 90.00°
Positions (direct):
Tb1 0.0000 0.5919 0.9542
Tb2 0.0000 0.4081 0.0458
Tb3 0.0000 0.9542 0.5919
Tb4 0.0000 0.0458 0.4081
Tb5 0.0000 0.6353 0.3647
Tb6 0.0000 0.3647 0.6353
Tb7 0.0000 0.8416 0.1584
Tb8 0.0000 0.1584 0.8416
Tb9 0.0000 0.0000 0.0000
Tb10 0.0000 0.7130 0.7130
Tb11 0.0000 0.2870 0.2870
Ho1 0.5000 0.6351 0.1624
Ho2 0.5000 0.3649 0.8376
Ho3 0.5000 0.1624 0.6351
Ho4 0.5000 0.8376 0.3649
Ho5 0.5000 0.7885 0.9341
Ho6 0.5000 0.2115 0.0659
Ho7 0.5000 0.9341 0.7885
Ho8 0.5000 0.0659 0.2115
Ho9 0.5000 0.5000 0.5000
Th1 0.5000 0.5544 0.7566
Th2 0.5000 0.4456 0.2434
Th3 0.5000 0.7566 0.5544
Th4 0.5000 0.2434 0.4456

Computed properties:
V in A^3/atom: 32.5
DOS at the Fermi energy in states/eV per cell: 34.67
E in eV per atom: -4.97
Space group: No. 65
DFT formation energy in eV per atom: 0.1095

---

# 5
A plane-wave DFT calculation with GGA-PBE was carried out for crystalline HfTl6F12 at its relaxed geometry.

Cell: 7.4912 7.4912 7.4912 Å, 99.34 99.34 99.34°
Positions (direct):
Hf1 0.0000 0.0000 0.0000
Tl1 0.1455 0.3192 0.6011
Tl2 0.6808 0.3989 0.8545
Tl3 0.3989 0.8545 0.6808
Tl4 0.8545 0.6808 0.3989
Tl5 0.3192 0.6011 0.1455
Tl6 0.6011 0.1455 0.3192
F1 0.4305 0.1807 0.5826
F2 0.1807 0.5826 0.4305
F3 0.5826 0.4305 0.1807
F4 0.5695 0.8193 0.4174
F5 0.8193 0.4174 0.5695
F6 0.4174 0.5695 0.8193
F7 0.0222 0.9191 0.7355
F8 0.2645 0.9778 0.0809
F9 0.0809 0.2645 0.9778
F10 0.9778 0.0809 0.2645
F11 0.7355 0.0222 0.9191
F12 0.9191 0.7355 0.0222

Computed properties:
V in A^3/atom: 21.1
DOS at the Fermi energy in states/eV per cell: 18.03
E in eV per atom: -4.74
Space group: No. 148
Formation energy without anion corrections in meV/atom: -2285

---

# 6
A plane-wave DFT calculation with GGA-PBE was carried out for crystalline ZnReTeI2 at its relaxed geometry.

Cell: 5.4132 5.4132 5.6119 Å, 90.00 90.00 90.00°
Site moments in Bohr magnetons follow the coordinates.
Positions (direct):
I1 0.0000 0.5000 0.0000  0.03
I2 0.5000 0.0000 0.0000  0.03
Re1 0.5000 0.5000 0.5000  4.15
Zn1 0.0000 0.0000 0.0000  0.00
Te1 0.0000 0.0000 0.5000  -0.24

Computed properties:
V in A^3/atom: 32.9
DOS at the Fermi energy in states/eV per cell: 2.46
E in eV per atom: -2.74
Space group: No. 123
Formation energy without anion corrections in meV/atom: 1249
ΔE to the lowest computed polymorph in eV per formula unit: 2.94

---

Copy entry 2 word for word.
A plane-wave DFT calculation with GGA-PBE was carried out for crystalline CaMn2Tc at its relaxed geometry.

Cell: 5.2116 5.2116 5.2116 Å, 135.14 135.14 65.31°
Site moments in Bohr magnetons follow the coordinates.
Positions (direct):
Ca1 0.7500 0.2500 0.5000  0.00
Mn1 0.0000 0.0000 0.0000  3.46
Mn2 0.2500 0.7500 0.5000  3.45
Tc1 0.5000 0.5000 0.0000  -0.40

Computed properties:
V in A^3/atom: 17.3
DOS at the Fermi energy in states/eV per cell: 7.17
E in eV per atom: -6.93
Space group: No. 119
DFT formation energy in eV per atom: 0.7486
ΔE to the lowest computed polymorph in eV per formula unit: 1.56